No. 1
Entry from Alexandria: an optimized crystal structure of PmIF (PBE).

**Calculated density**: 6.8 g/cm³
**ΔE_f (raw)**: -2.012 eV/atom
**Magnetization**: 0.00 μB per formula unit

Cell: 3.588 3.588 11.112 Å, 90.00 90.00 90.00°
Positions (direct):
Pm1 0.000 0.000 0.000
Pm2 0.500 0.500 0.500
I1 0.000 0.000 0.314
I2 0.500 0.500 0.814
F1 0.000 0.000 0.585
F2 0.500 0.500 0.085

=====

No. 2
Entry from Alexandria: an optimized crystal structure of PmI2F (PBE).

**Calculated density**: 4.3 g/cm³
**ΔE_f (raw)**: -2.291 eV/atom
**Magnetization**: 0.00 μB per formula unit

Cell: 4.504 4.527 15.924 Å, 90.00 90.00 90.00°
Positions (direct):
Pm1 0.000 0.000 0.000
Pm2 0.500 0.500 0.500
I1 0.000 0.500 0.363
I2 0.000 0.500 0.637
I3 0.500 0.000 0.137
I4 0.500 0.000 0.863
F1 0.000 0.500 0.000
F2 0.500 0.000 0.500